Density functional theory data (PBE+U) for DyV2HgO8 after structural relaxation.

The calculated total energy is -6.769 eV per atom. The theoretical density comes out at 5.77 g/cm3. The calculation puts the volume at 170.8 Å³/cell. The total magnetic moment comes out at 1.10 μB/cell.

abc: 6.0706 6.0706 6.0706
angles: 106.54 106.54 115.51
Last column: nearest neighbours and their distance in Å.
Fractional coordinates of all 12 atoms:
O 0.3433 0.1488 0.8054  1 V 1.74
V 0.7500 0.2500 0.5000  4 O 1.75
O 0.4621 0.6567 0.8054  1 V 1.74
Hg 0.0000 0.0000 0.0000  8 O 2.36-2.63
O 0.8512 0.6567 0.1946  1 V 1.74
Dy 0.2500 0.7500 0.5000  8 O 2.30-2.47
O 0.9271 0.2457 0.3186  1 V 1.75
O 0.3915 0.0729 0.3186  1 V 1.75
O 0.7543 0.0729 0.6814  1 V 1.75
O 0.3433 0.5379 0.1946  1 V 1.74
O 0.9271 0.6085 0.6814  1 V 1.75
V 0.5000 0.5000 0.0000  4 O 1.74